(1)
Pa3ZnN2O6 | GGA-PBE | relaxed

For the energy, the calculation gives -105.2 eV per cell. The calculation puts the total magnetic moment at 1.04 μB/cell. The value obtained for the density of states at the Fermi level is 0.630 states/eV per atom. The uncorrected formation energy is -2.421 eV per atom.

```
Pa3ZnN2O6
1.0
5.423 -3.578 0.000
5.423 3.578 0.000
-0.004 0.000 4.919
Pa Zn N O
3 1 2 6
Direct
0.000 0.000 0.000
0.000 0.500 0.500
0.500 0.000 0.500
0.500 0.500 0.500
0.169 0.169 0.277
0.831 0.831 0.723
0.130 0.688 0.241
0.312 0.870 0.759
0.346 0.346 0.674
0.654 0.654 0.326
0.688 0.130 0.241
0.870 0.312 0.759
```

(2)
PbN3O | GGA-PBE | relaxed

For the energy, the calculation gives -21.6 eV per cell. The calculation puts the total magnetic moment at 0.26 μB/cell. The value obtained for the density of states at the Fermi level is 0.734 states/eV per atom. The uncorrected formation energy is 2.415 eV per atom.

```
PbN3O
1.0
3.715 0.000 0.000
0.000 3.715 0.000
0.000 0.000 3.715
Pb N O
1 3 1
Direct
0.000 0.000 0.000
0.000 0.500 0.500
0.500 0.000 0.500
0.500 0.500 0.000
0.500 0.500 0.500
```

(3)
PbN3O | GGA-PBE | relaxed

For the energy, the calculation gives -19.4 eV per cell. The calculation puts the total magnetic moment at 7.03 μB/cell. The value obtained for the density of states at the Fermi level is 0.831 states/eV per atom. The uncorrected formation energy is 2.854 eV per atom.

```
PbN3O
1.0
4.399 0.000 0.000
0.000 4.399 0.000
0.000 0.000 4.399
Pb N O
1 3 1
Direct
0.000 0.000 0.000
0.000 0.000 0.500
0.000 0.500 0.000
0.500 0.000 0.000
0.500 0.500 0.500
```

(4)
Pm6Pb2NO | GGA-PBE | relaxed

For the energy, the calculation gives -60.8 eV per cell. The calculation puts the total magnetic moment at 0.00 μB/cell. The value obtained for the density of states at the Fermi level is 0.507 states/eV per atom. The uncorrected formation energy is -1.157 eV per atom.

```
Pm6Pb2NO
1.0
0.000 4.974 4.974
4.974 0.000 4.974
4.974 4.974 0.000
Pm Pb N O
6 2 1 1
Direct
0.248 0.248 0.752
0.248 0.752 0.248
0.248 0.752 0.752
0.752 0.248 0.248
0.752 0.248 0.752
0.752 0.752 0.248
0.250 0.250 0.250
0.750 0.750 0.750
0.000 0.000 0.000
0.500 0.500 0.500
```

(5)
PtPbNO2 | GGA-PBE | relaxed

For the energy, the calculation gives -27.6 eV per cell. The calculation puts the total magnetic moment at 0.00 μB/cell. The value obtained for the density of states at the Fermi level is 0.260 states/eV per atom. The uncorrected formation energy is 0.069 eV per atom.

```
PtPbNO2
1.0
4.348 0.000 0.000
0.000 4.348 0.000
0.000 0.000 3.748
Pt Pb N O
1 1 1 2
Direct
0.000 0.000 0.000
0.500 0.500 0.500
0.000 0.000 0.500
0.000 0.500 0.000
0.500 0.000 0.000
```

(6)
PtPb2NO | GGA-PBE | relaxed

For the energy, the calculation gives -26.7 eV per cell. The calculation puts the total magnetic moment at 0.00 μB/cell. The value obtained for the density of states at the Fermi level is 0.594 states/eV per atom. The uncorrected formation energy is 0.017 eV per atom. The energy above the most stable polymorph in this dataset comes out at 0.209 eV per atom.

```
PtPb2NO
1.0
4.517 0.000 0.000
0.000 3.629 0.000
-1.391 0.000 6.131
Pt Pb N O
1 2 1 1
Direct
0.000 0.000 0.000
0.536 0.500 0.821
0.885 0.000 0.401
0.198 0.000 0.742
0.625 0.500 0.477
```

- Which formula does entry 3 have?
  PbN3O